Here is a relaxed BaTlPb2S4 crystal from Alexandria. Energies are from PBE.

Unit cell a=8.6224 b=8.6676 c=12.2170 alpha=90.00 beta=90.00 gamma=90.00
With the nearest neighbours (Å) after each atom.
Space group Imma (No. 74)
Asymmetric unit:
Ba 0.0000 0.0000 0.0000 [4 per cell]  6 S 3.12
Tl 0.2500 0.2500 0.2500 [4 per cell]  6 S 3.12
Pb 0.0000 0.0000 0.5000 [4 per cell]  6 S 2.99-3.00
Pb 0.2500 0.2500 0.7500 [4 per cell]  6 S 2.99-3.00
S 0.0000 0.0097 0.7445 [8 per cell]  3 Pb 2.99-3.00, 2 Tl 3.12, 1 Ba 3.12
S 0.2405 0.2500 0.5055 [8 per cell]  3 Pb 2.99-3.00, 2 Ba 3.12, 1 Tl 3.12

Output
Density of states at the Fermi level ... 0.577 states/eV/atom
Total energy ... -4.3256 eV/atom
Energy relative to the elements, uncorrected ... -0.799 eV per atom

***

Here is a relaxed Nd7Y3Er2 crystal from Alexandria. Energies are from PBE.

Unit cell a=6.6332 b=6.6332 c=33.5528 alpha=90.00 beta=90.00 gamma=120.00
With the nearest neighbours (Å) after each atom.
Space group R-3m (No. 166, hexagonal axes)
Asymmetric unit:
Nd 0.0000 0.0000 0.0000 [3 per cell]  6 Nd 3.39
Nd 0.0079 0.5040 0.4157 [18 per cell]  5 Nd 3.24-3.40, 2 Er 3.41-3.42
Y 0.0000 0.0000 0.3488 [6 per cell]  12 Nd 3.78-4.01, 3 Y 3.97
Y 0.0000 0.0000 0.5000 [3 per cell]  6 Er 3.83
Er 0.0000 0.0000 0.1655 [6 per cell]  6 Nd 3.41-3.42

Output
Density of states at the Fermi level ... 1.637 states/eV/atom
Total energy ... -4.8820 eV/atom
E_form ... 0.2757 eV/atom

***

Here is a relaxed Dy3Bi2Pb crystal from Alexandria. Energies are from PBE.

Unit cell a=4.3893 b=6.3277 c=13.6138 alpha=90.00 beta=90.00 gamma=90.00
With the nearest neighbours (Å) after each atom.
Space group Immm (No. 71)
Asymmetric unit:
Dy 0.0000 0.0000 0.0000 [2 per cell]  4 Bi 3.16, 2 Pb 3.16
Dy 0.0000 0.0000 0.3324 [4 per cell]  4 Bi 3.14-3.16, 2 Pb 3.17
Bi 0.0000 0.5000 0.3328 [4 per cell]  6 Dy 3.14-3.16
Pb 0.0000 0.5000 0.0000 [2 per cell]  6 Dy 3.16-3.17

Output
Density of states at the Fermi level ... 0.443 states/eV/atom
Total energy ... -4.8955 eV/atom
E_form ... -0.6827 eV/atom

***

Here is a relaxed Mg2FeTc crystal from Alexandria. Energies are from PBE.

Unit cell a=3.3648 b=4.1636 c=8.8440 alpha=90.00 beta=90.00 gamma=90.00
With the nearest neighbours (Å) after each atom.
Space group Cmmm (No. 65)
Asymmetric unit:
Mg 0.0000 0.0000 0.2418 [4 per cell]  4 Mg 2.68, 4 Fe 2.72-2.98, 2 Tc 2.84
Fe 0.0000 0.5000 0.0000 [2 per cell]  4 Fe 2.68, 8 Mg 2.72-2.98
Tc 0.0000 0.5000 0.5000 [2 per cell]  4 Tc 2.68, 4 Mg 2.84

Output
Density of states at the Fermi level ... 0.770 states/eV/atom
Total energy ... -5.2419 eV/atom
E_form ... 0.2625 eV/atom

***

Please write out number 4 again, unchanged.
Here is a relaxed Mg2FeTc crystal from Alexandria. Energies are from PBE.

Unit cell a=3.3648 b=4.1636 c=8.8440 alpha=90.00 beta=90.00 gamma=90.00
With the nearest neighbours (Å) after each atom.
Space group Cmmm (No. 65)
Asymmetric unit:
Mg 0.0000 0.0000 0.2418 [4 per cell]  4 Mg 2.68, 4 Fe 2.72-2.98, 2 Tc 2.84
Fe 0.0000 0.5000 0.0000 [2 per cell]  4 Fe 2.68, 8 Mg 2.72-2.98
Tc 0.0000 0.5000 0.5000 [2 per cell]  4 Tc 2.68, 4 Mg 2.84

Output
Density of states at the Fermi level ... 0.770 states/eV/atom
Total energy ... -5.2419 eV/atom
E_form ... 0.2625 eV/atom